## A
VASP calculation (PBE) on a relaxed structure of Pm3NdTl.

The structure belongs to space group Pmmn (No. 59, origin choice 2); the cell edges are 5.5030, 8.7863 and 6.9646 Å and the angles 90.00°, 90.00° and 90.00°. Symmetry generates all atoms from Pm at (0.2500, 0.0623, 0.2201), Pm at (0.2500, 0.2500, 0.7176), Nd at (0.2500, 0.7500, 0.5520) and Tl at (0.2500, 0.7500, 0.9954).

The magnetization comes out at 0.000 μB/atom. The crystal system is orthorhombic. The value obtained for the density of states at the Fermi level is 10.86 states/eV per cell.



## B
VASP calculation (PBE) on a relaxed structure of Pm3NdTl.

The structure belongs to space group Cmcm (No. 63); the cell edges are 4.9359, 26.0280 and 4.9228 Å and the angles 90.00°, 90.00° and 90.00°. Symmetry generates all atoms from Pm at (0.0000, 0.0515, 0.2500), Pm at (0.0000, 0.2496, 0.2500), Pm at (0.0000, 0.4480, 0.2500), Nd at (0.0000, 0.1504, 0.7500) and Tl at (0.0000, 0.3466, 0.7500).

The magnetization comes out at 0.000 μB/atom. The crystal system is orthorhombic. The value obtained for the density of states at the Fermi level is 29.22 states/eV per cell.



It is B that is the most stable of them.



## A
VASP calculation (PBE) on a relaxed structure of PmNd8Tl2.

The structure belongs to space group C2/m (No. 12); the cell edges are 9.0367, 15.5904 and 5.9260 Å and the angles 90.00°, 115.90° and 90.00°. Symmetry generates all atoms from Pm at (0.0000, 0.0000, 0.0000), Nd at (0.0000, 0.2200, 0.0000), Nd at (0.0937, 0.5000, 0.7952), Nd at (0.2067, 0.1140, 0.6199) and Tl at (0.0000, 0.3058, 0.5000).

The magnetization comes out at 0.000 μB/atom. The crystal system is monoclinic. The value obtained for the density of states at the Fermi level is 28.99 states/eV per cell.



## B
VASP calculation (PBE) on a relaxed structure of PmNd8Tl2.

The structure belongs to space group C2/m (No. 12); the cell edges are 17.6830, 5.2661 and 8.4308 Å and the angles 90.00°, 111.22° and 90.00°. Symmetry generates all atoms from Pm at (0.0000, 0.0000, 0.0000), Nd at (0.0519, 0.5000, 0.7383), Nd at (0.1011, 0.0000, 0.4653), Nd at (0.1456, 0.5000, 0.2046), Nd at (0.1863, 0.0000, 0.9488) and Tl at (0.2224, 0.5000, 0.6406).

The magnetization comes out at 0.000 μB/atom. The crystal system is monoclinic. The value obtained for the density of states at the Fermi level is 28.50 states/eV per cell.



It is B that is the most stable of them.



## A
VASP calculation (PBE) on a relaxed structure of PmNd5Tl2.

The structure belongs to space group P6_3/mmc (No. 194); the cell edges are 5.6070, 5.6070 and 20.4347 Å and the angles 90.00°, 90.00° and 120.00°. Symmetry generates all atoms from Pm at (0.3333, 0.6667, 0.2500), Nd at (0.0000, 0.0000, 0.1615), Nd at (0.3333, 0.6667, 0.5641), Nd at (0.3333, 0.6667, 0.7500) and Tl at (0.3333, 0.6667, 0.0934).

The magnetization comes out at 0.000 μB/atom. The crystal system is hexagonal. The value obtained for the density of states at the Fermi level is 31.12 states/eV per cell.



## B
VASP calculation (PBE) on a relaxed structure of PmNd5Tl2.

The structure belongs to space group Immm (No. 71); the cell edges are 3.7484, 11.0252 and 12.6839 Å and the angles 90.00°, 90.00° and 90.00°. Symmetry generates all atoms from Pm at (0.0000, 0.0000, 0.0000), Nd at (0.0000, 0.2217, 0.3617), Nd at (0.0000, 0.5000, 0.0000) and Tl at (0.0000, 0.5000, 0.2726).

The magnetization comes out at 0.000 μB/atom. The crystal system is orthorhombic. The value obtained for the density of states at the Fermi level is 21.26 states/eV per cell.



It is B that is the most stable of them.



## A
VASP calculation (PBE) on a relaxed structure of Pm5NdTl4.

The structure belongs to space group P4/mmm (No. 123); the cell edges are 3.6390, 3.6390 and 22.8244 Å and the angles 90.00°, 90.00° and 90.00°. Symmetry generates all atoms from Pm at (0.0000, 0.0000, 0.0000), Pm at (0.0000, 0.0000, 0.1925), Pm at (0.0000, 0.0000, 0.3842), Nd at (0.5000, 0.5000, 0.5000), Tl at (0.5000, 0.5000, 0.0964) and Tl at (0.5000, 0.5000, 0.2890).

The magnetization comes out at 0.000 μB/atom. The crystal system is tetragonal. The value obtained for the density of states at the Fermi level is 9.65 states/eV per cell.



## B
VASP calculation (PBE) on a relaxed structure of Pm5NdTl4.

The structure belongs to space group Pmmn (No. 59, origin choice 2); the cell edges are 8.3841, 9.3844 and 8.7773 Å and the angles 90.00°, 90.00° and 90.00°. Symmetry generates all atoms from Pm at (0.0101, 0.0544, 0.2315), Pm at (0.2500, 0.2500, 0.5818), Nd at (0.2500, 0.7500, 0.1720), Tl at (0.0820, 0.2500, 0.9390) and Tl at (0.2500, 0.5866, 0.5012).

The magnetization comes out at 0.000 μB/atom. The crystal system is orthorhombic. The value obtained for the density of states at the Fermi level is 17.43 states/eV per cell.



It is A that is the most stable of them.



## A
VASP calculation (PBE) on a relaxed structure of PmNdTmTl.

The structure belongs to space group F-43m (No. 216); the cell edges are 7.8573, 7.8573 and 7.8573 Å and the angles 90.00°, 90.00° and 90.00°. Symmetry generates all atoms from Pm at (0.0000, 0.0000, 0.0000), Nd at (0.0000, 0.0000, 0.5000), Tm at (0.2500, 0.2500, 0.7500) and Tl at (0.2500, 0.2500, 0.2500).

The magnetization comes out at 0.252 μB/atom. The crystal system is cubic. The value obtained for the density of states at the Fermi level is 24.74 states/eV per cell.



## B
VASP calculation (PBE) on a relaxed structure of PmNdTmTl.

The structure belongs to space group Pmmm (No. 47); the cell edges are 4.8753, 4.8878 and 4.9975 Å and the angles 90.00°, 90.00° and 90.00°. Symmetry generates all atoms from Pm at (0.0000, 0.0000, 0.0000), Nd at (0.5000, 0.5000, 0.0000), Tm at (0.0000, 0.5000, 0.5000) and Tl at (0.5000, 0.0000, 0.5000).

The magnetization comes out at 0.000 μB/atom. The crystal system is orthorhombic. The value obtained for the density of states at the Fermi level is 5.53 states/eV per cell.



It is B that is the most stable of them.



## A
VASP calculation (PBE) on a relaxed structure of PmNdTm.

The structure belongs to space group P2_1/m (No. 11); the cell edges are 3.6095, 5.0910 and 10.8142 Å and the angles 90.00°, 90.02° and 90.00°. Symmetry generates all atoms from Pm at (0.2493, 0.2500, 0.4139), Nd at (0.2512, 0.2500, 0.7552) and Tm at (0.2496, 0.2500, 0.0800).

The magnetization comes out at 0.000 μB/atom. The crystal system is monoclinic. The value obtained for the density of states at the Fermi level is 8.87 states/eV per cell.



## B
VASP calculation (PBE) on a relaxed structure of PmNdTm.

The structure belongs to space group P4/nmm (No. 129, origin choice 2); the cell edges are 4.8777, 4.8777 and 8.7466 Å and the angles 90.00°, 90.00° and 90.00°. Symmetry generates all atoms from Pm at (0.2500, 0.2500, 0.1995), Nd at (0.2500, 0.2500, 0.8019) and Tm at (0.2500, 0.7500, 0.5000).

The magnetization comes out at 0.000 μB/atom. The crystal system is tetragonal. The value obtained for the density of states at the Fermi level is 8.33 states/eV per cell.



## C
VASP calculation (PBE) on a relaxed structure of PmNdTm.

The structure belongs to space group C2/m (No. 12); the cell edges are 15.3463, 5.1122 and 5.0848 Å and the angles 90.00°, 90.01° and 90.00°. Symmetry generates all atoms from Pm at (0.0823, 0.0000, 0.2513), Nd at (0.2492, 0.0000, 0.7499) and Tm at (0.0815, 0.5000, 0.7498).

The magnetization comes out at 0.000 μB/atom. The crystal system is monoclinic. The value obtained for the density of states at the Fermi level is 17.02 states/eV per cell.



## D
VASP calculation (PBE) on a relaxed structure of PmNdTm.

The structure belongs to space group P3m1 (No. 156); the cell edges are 5.7107, 5.7107 and 3.5084 Å and the angles 90.00°, 90.00° and 120.00°. Symmetry generates all atoms from Pm at (0.0000, 0.0000, 0.0000), Nd at (0.3333, 0.6667, 0.5007) and Tm at (0.6667, 0.3333, 0.0017).

The magnetization comes out at 0.000 μB/atom. The crystal system is trigonal. The value obtained for the density of states at the Fermi level is 4.16 states/eV per cell.



It is C that is the most stable of them.



## A
VASP calculation (PBE) on a relaxed structure of PmNd2Tm9.

The structure belongs to space group P6/mmm (No. 191); the cell edges are 11.1744, 11.1744 and 3.4980 Å and the angles 90.00°, 90.00° and 120.00°. Symmetry generates all atoms from Pm at (0.0000, 0.0000, 0.0000), Nd at (0.3333, 0.6667, 0.0000), Tm at (0.0000, 0.5000, 0.0000) and Tm at (0.1758, 0.3516, 0.5000).

The magnetization comes out at 0.000 μB/atom. The crystal system is hexagonal. The value obtained for the density of states at the Fermi level is 18.70 states/eV per cell.



## B
VASP calculation (PBE) on a relaxed structure of PmNd2Tm9.

The structure belongs to space group P4/mmm (No. 123); the cell edges are 4.9972, 4.9972 and 14.9912 Å and the angles 90.00°, 90.00° and 90.00°. Symmetry generates all atoms from Pm at (0.0000, 0.0000, 0.0000), Nd at (0.0000, 0.0000, 0.3332), Tm at (0.0000, 0.5000, 0.1662), Tm at (0.0000, 0.5000, 0.5000), Tm at (0.5000, 0.5000, 0.0000) and Tm at (0.5000, 0.5000, 0.3330).

The magnetization comes out at 0.000 μB/atom. The crystal system is tetragonal. The value obtained for the density of states at the Fermi level is 17.49 states/eV per cell.



It is B that is the most stable of them.



## A
VASP calculation (PBE) on a relaxed structure of Pm5NdTm2.

The structure belongs to space group Pbam (No. 55); the cell edges are 7.2244, 14.4478 and 5.0982 Å and the angles 90.00°, 90.00° and 90.00°. Symmetry generates all atoms from Pm at (0.0000, 0.0000, 0.0000), Pm at (0.0008, 0.2498, 0.0000), Pm at (0.2493, 0.8747, 0.5000), Nd at (0.0000, 0.5000, 0.0000) and Tm at (0.2503, 0.1251, 0.5000).

The magnetization comes out at 0.000 μB/atom. The crystal system is orthorhombic. The value obtained for the density of states at the Fermi level is 22.29 states/eV per cell.



## B
VASP calculation (PBE) on a relaxed structure of Pm5NdTm2.

The structure belongs to space group C2/c (No. 15); the cell edges are 16.8310, 9.9823 and 6.5411 Å and the angles 90.00°, 98.96° and 90.00°. Symmetry generates all atoms from Pm at (0.0000, 0.0535, 0.2500), Pm at (0.0952, 0.4035, 0.1360), Pm at (0.1996, 0.0882, 0.0160), Nd at (0.2500, 0.2500, 0.5000) and Tm at (0.0770, 0.2548, 0.6260).

The magnetization comes out at 0.000 μB/atom. The crystal system is monoclinic. The value obtained for the density of states at the Fermi level is 51.80 states/eV per cell.



It is A that is the most stable of them.



## A
VASP calculation (PBE) on a relaxed structure of Pm4Nd3Tm2.

The structure belongs to space group C2/m (No. 12); the cell edges are 11.2171, 5.9624 and 9.2393 Å and the angles 90.00°, 101.00° and 90.00°. Symmetry generates all atoms from Pm at (0.1691, 0.0000, 0.4760), Pm at (0.2224, 0.5000, 0.8569), Nd at (0.0000, 0.5000, 0.5000), Nd at (0.1124, 0.5000, 0.1762) and Tm at (0.0572, 0.0000, 0.8258).

The magnetization comes out at 0.000 μB/atom. The crystal system is monoclinic. The value obtained for the density of states at the Fermi level is 30.30 states/eV per cell.



## B
VASP calculation (PBE) on a relaxed structure of Pm4Nd3Tm2.

The structure belongs to space group C2/m (No. 12); the cell edges are 15.3995, 5.1310 and 8.0871 Å and the angles 90.00°, 108.57° and 90.00°. Symmetry generates all atoms from Pm at (0.0554, 0.0000, 0.3311), Pm at (0.2219, 0.5000, 0.3298), Nd at (0.0000, 0.5000, 0.0000), Nd at (0.1119, 0.5000, 0.6679) and Tm at (0.1680, 0.0000, 0.9997).

The magnetization comes out at 0.000 μB/atom. The crystal system is monoclinic. The value obtained for the density of states at the Fermi level is 27.95 states/eV per cell.



It is B that is the most stable of them.



## A
VASP calculation (PBE) on a relaxed structure of PmNd7Tm4.

The structure belongs to space group C2/m (No. 12); the cell edges are 16.1438, 6.0030 and 9.5126 Å and the angles 90.00°, 117.38° and 90.00°. Symmetry generates all atoms from Pm at (0.0000, 0.0000, 0.0000), Nd at (0.0000, 0.5000, 0.0000), Nd at (0.0884, 0.0000, 0.4558), Nd at (0.2152, 0.0000, 0.8883), Nd at (0.2179, 0.0000, 0.2482), Tm at (0.0684, 0.5000, 0.6996) and Tm at (0.1673, 0.5000, 0.3735).

The magnetization comes out at 0.015 μB/atom. The crystal system is monoclinic. The value obtained for the density of states at the Fermi level is 38.44 states/eV per cell.



## B
VASP calculation (PBE) on a relaxed structure of PmNd7Tm4.

The structure belongs to space group P-1 (No. 2); the cell edges are 6.3226, 7.2885 and 8.9755 Å and the angles 89.98°, 76.43° and 89.96°. Symmetry generates all atoms from Pm at (0.0000, 0.0000, 0.0000), Nd at (0.0000, 0.5000, 0.0000), Nd at (0.2228, 0.0006, 0.3350), Nd at (0.2815, 0.2514, 0.6632), Nd at (0.5001, 0.2545, 0.0024), Tm at (0.2182, 0.5005, 0.3362) and Tm at (0.2773, 0.7447, 0.6658).

The magnetization comes out at 0.000 μB/atom. The crystal system is triclinic. The value obtained for the density of states at the Fermi level is 16.53 states/eV per cell.



It is B that is the most stable of them.